No. 1
Density functional theory data (PBE-GGA) for a geometry-optimized LuBe2Nb structure.

a = 3.1313 Å, b = 3.1313 Å, c = 6.3355 Å
α = 90.00°, β = 90.00°, γ = 90.00°
With the nearest neighbours (Å) after each atom.
Sites, in units of the cell vectors:
Lu1 0.0000 0.0000 0.0000  8 Be 2.83, 4 Lu 3.13, 2 Nb 3.17
Be1 0.5000 0.5000 0.2787  4 Nb 2.62, 1 Be 2.80, 4 Lu 2.83
Be2 0.5000 0.5000 0.7213  4 Nb 2.62, 1 Be 2.80, 4 Lu 2.83
Nb1 0.0000 0.0000 0.5000  8 Be 2.62

Values from the calculation:
Density of states at the Fermi level in states/eV/f.u.: 2.43
Formation energy in meV per atom: 64
Total energy in eV per atom: -5.45

***

No. 2
Density functional theory data (PBE-GGA) for a geometry-optimized NdLu2Be structure.

a = 3.3957 Å, b = 3.3957 Å, c = 8.7520 Å
α = 90.00°, β = 90.00°, γ = 90.00°
With the nearest neighbours (Å) after each atom.
Sites, in units of the cell vectors:
Nd1 0.0000 0.0000 0.0000  4 Nd 3.40, 8 Lu 3.65
Lu1 0.5000 0.5000 0.3135  4 Be 2.90
Lu2 0.5000 0.5000 0.6865  4 Be 2.90
Be1 0.0000 0.0000 0.5000  8 Lu 2.90

Values from the calculation:
Density of states at the Fermi level in states/eV/f.u.: 3.56
Energy above the lowest structure with this stoichiometry in kJ/mol of atoms: 0.0
Formation energy in meV per atom: 48
Total energy in eV per atom: -4.34

***

No. 3
Density functional theory data (PBE-GGA) for a geometry-optimized NdLuBe structure.

a = 6.5236 Å, b = 6.5236 Å, c = 6.5236 Å
α = 149.03°, β = 149.03°, γ = 44.36°
With the nearest neighbours (Å) after each atom.
Sites, in units of the cell vectors:
Nd1 0.0000 0.0000 0.0000  4 Be 3.07, 1 Lu 3.28
Lu1 0.2717 0.2717 0.0000  4 Be 2.85
Be1 0.6523 0.6523 0.0000  4 Lu 2.85, 4 Nd 3.07

Values from the calculation:
Density of states at the Fermi level in states/eV/f.u.: 3.03
Formation energy in meV per atom: 112
Total energy in eV per atom: -4.23

***

No. 4
Density functional theory data (PBE-GGA) for a geometry-optimized NdLu2Be structure.

a = 10.9145 Å, b = 10.9145 Å, c = 10.9145 Å
α = 18.01°, β = 18.01°, γ = 18.01°
With the nearest neighbours (Å) after each atom.
Sites, in units of the cell vectors:
Nd1 0.0000 0.0000 0.0000  6 Nd 3.42, 2 Lu 3.46
Lu1 0.1075 0.1075 0.1075  3 Be 2.74
Lu2 0.8925 0.8925 0.8925  3 Be 2.74
Be1 0.5000 0.5000 0.5000  6 Lu 2.74

Values from the calculation:
Density of states at the Fermi level in states/eV/f.u.: 4.01
Energy above the lowest structure with this stoichiometry in kJ/mol of atoms: 27.4
Formation energy in meV per atom: 331
Total energy in eV per atom: -4.05

***

No. 5
Density functional theory data (PBE-GGA) for a geometry-optimized NdLuBeZn structure.

a = 4.9791 Å, b = 4.9791 Å, c = 4.9791 Å
α = 60.00°, β = 60.00°, γ = 60.00°
With the nearest neighbours (Å) after each atom.
Sites, in units of the cell vectors:
Nd1 0.0000 0.0000 0.0000  4 Be 3.05, 4 Zn 3.05
Lu1 0.5000 0.5000 0.5000  4 Zn 3.05, 4 Be 3.05
Be1 0.2500 0.2500 0.2500  4 Lu 3.05, 4 Nd 3.05
Zn1 0.7500 0.7500 0.7500  4 Lu 3.05, 4 Nd 3.05

Values from the calculation:
Density of states at the Fermi level in states/eV/f.u.: 4.46
Formation energy in meV per atom: -72
Total energy in eV per atom: -3.64

***

No. 6
Density functional theory data (PBE-GGA) for a geometry-optimized LuBe4Ni structure.

a = 4.5778 Å, b = 4.5778 Å, c = 4.5778 Å
α = 60.00°, β = 60.00°, γ = 60.00°
With the nearest neighbours (Å) after each atom.
Sites, in units of the cell vectors:
Lu1 0.0000 0.0000 0.0000  12 Be 2.69, 4 Ni 2.80
Be1 0.1335 0.6222 0.6222  6 Be 2.24-2.34
Be2 0.6222 0.1335 0.6222  6 Be 2.24-2.34
Be3 0.6222 0.6222 0.1335  6 Be 2.24-2.34
Be4 0.6222 0.6222 0.6222  6 Be 2.24-2.34
Ni1 0.2500 0.2500 0.2500  12 Be 2.68, 4 Lu 2.80

Values from the calculation:
Density of states at the Fermi level in states/eV/f.u.: 3.79
Formation energy in meV per atom: -114
Total energy in eV per atom: -4.31

***

No. 7
Density functional theory data (PBE-GGA) for a geometry-optimized LuBeNi4 structure.

a = 4.7837 Å, b = 4.7837 Å, c = 4.7837 Å
α = 60.00°, β = 60.00°, γ = 60.00°
With the nearest neighbours (Å) after each atom.
Sites, in units of the cell vectors:
Lu1 0.0000 0.0000 0.0000  12 Ni 2.81, 4 Be 2.93
Be1 0.7500 0.7500 0.7500  12 Ni 2.80, 4 Lu 2.93
Ni1 0.3762 0.3762 0.3762  6 Ni 2.37-2.42
Ni2 0.3762 0.3762 0.8713  6 Ni 2.37-2.42
Ni3 0.3762 0.8713 0.3762  6 Ni 2.37-2.42
Ni4 0.8713 0.3762 0.3762  6 Ni 2.37-2.42

Values from the calculation:
Density of states at the Fermi level in states/eV/f.u.: 9.23
Formation energy in meV per atom: -261
Total energy in eV per atom: -5.49

***

No. 8
Density functional theory data (PBE-GGA) for a geometry-optimized LuBeNi2 structure.

a = 5.0546 Å, b = 5.0546 Å, c = 5.0546 Å
α = 44.56°, β = 44.56°, γ = 44.56°
With the nearest neighbours (Å) after each atom.
Sites, in units of the cell vectors:
Lu1 0.0000 0.0000 0.0000  8 Ni 2.75-2.85
Be1 0.5000 0.5000 0.5000  6 Ni 2.26
Ni1 0.2020 0.2020 0.2020  3 Be 2.26, 3 Ni 2.41
Ni2 0.7980 0.7980 0.7980  3 Be 2.26, 3 Ni 2.41

Values from the calculation:
Density of states at the Fermi level in states/eV/f.u.: 1.96
Formation energy in meV per atom: -408
Total energy in eV per atom: -5.36

***

No. 9
Density functional theory data (PBE-GGA) for a geometry-optimized LuScBeNi structure.

a = 4.5971 Å, b = 4.5971 Å, c = 4.5971 Å
α = 60.00°, β = 60.00°, γ = 60.00°
With the nearest neighbours (Å) after each atom.
Sites, in units of the cell vectors:
Lu1 0.0000 0.0000 0.0000  4 Ni 2.82, 4 Be 2.82
Sc1 0.5000 0.5000 0.5000  4 Be 2.82, 4 Ni 2.82
Be1 0.2500 0.2500 0.2500  4 Sc 2.82, 4 Lu 2.82
Ni1 0.7500 0.7500 0.7500  4 Sc 2.82, 4 Lu 2.82

Values from the calculation:
Density of states at the Fermi level in states/eV/f.u.: 3.33
Formation energy in meV per atom: -218
Total energy in eV per atom: -5.31

***

No. 10
Density functional theory data (PBE-GGA) for a geometry-optimized TbLuBeNi structure.

a = 4.7538 Å, b = 4.7538 Å, c = 4.7538 Å
α = 60.00°, β = 60.00°, γ = 60.00°
With the nearest neighbours (Å) after each atom.
Sites, in units of the cell vectors:
Tb1 0.0000 0.0000 0.0000  4 Be 2.91, 4 Ni 2.91
Lu1 0.5000 0.5000 0.5000  4 Ni 2.91, 4 Be 2.91
Be1 0.7500 0.7500 0.7500  4 Tb 2.91, 4 Lu 2.91
Ni1 0.2500 0.2500 0.2500  4 Tb 2.91, 4 Lu 2.91

Values from the calculation:
Density of states at the Fermi level in states/eV/f.u.: 2.74
Formation energy in meV per atom: -160
Total energy in eV per atom: -4.83

***

No. 11
Density functional theory data (PBE-GGA) for a geometry-optimized TmLuBeNi structure.

a = 4.7079 Å, b = 4.7079 Å, c = 4.7079 Å
α = 60.00°, β = 60.00°, γ = 60.00°
With the nearest neighbours (Å) after each atom.
Sites, in units of the cell vectors:
Tm1 0.0000 0.0000 0.0000  4 Be 2.88, 4 Ni 2.88
Lu1 0.5000 0.5000 0.5000  4 Ni 2.88, 4 Be 2.88
Be1 0.7500 0.7500 0.7500  4 Tm 2.88, 4 Lu 2.88
Ni1 0.2500 0.2500 0.2500  4 Tm 2.88, 4 Lu 2.88

Values from the calculation:
Density of states at the Fermi level in states/eV/f.u.: 2.79
Formation energy in meV per atom: -198
Total energy in eV per atom: -4.82

***

No. 12
Density functional theory data (PBE-GGA) for a geometry-optimized YLuBeNi structure.

a = 4.7539 Å, b = 4.7539 Å, c = 4.7539 Å
α = 60.00°, β = 60.00°, γ = 60.00°
With the nearest neighbours (Å) after each atom.
Sites, in units of the cell vectors:
Y1 0.0000 0.0000 0.0000  4 Be 2.91, 4 Ni 2.91
Lu1 0.5000 0.5000 0.5000  4 Ni 2.91, 4 Be 2.91
Be1 0.7500 0.7500 0.7500  4 Y 2.91, 4 Lu 2.91
Ni1 0.2500 0.2500 0.2500  4 Lu 2.91, 4 Y 2.91

Values from the calculation:
Density of states at the Fermi level in states/eV/f.u.: 3.09
Formation energy in meV per atom: -164
Total energy in eV per atom: -5.29